A plane-wave DFT calculation with meta-GGA SCAN was carried out for Sb2Te2Se at its PBEsol-relaxed geometry.

The structure in POSCAR format:
```
Sb2Te2Se
1.0
2.096 1.210 9.708
-2.096 1.210 9.708
0.000 -2.420 9.708
Sb Te Se
2 2 1
Cartesian
0.000 0.000 0.000
0.000 0.000 5.706
0.000 0.000 11.446
0.000 0.000 17.372
0.000 0.000 23.643
```

Output
- Calculated volume: 148 Å³/f.u.
- Space group: No. 160
- Theoretical density: 6.49 g cm⁻³
- ΔE_f (raw): -0.13 eV per atom
- ΔE to the lowest computed polymorph: 0.0260 eV/atom
- Calculated total energy: -33.95 eV per atom